First-principles (GGA-PBE) data for an optimized crystal structure of YErAl2Ag5, as listed in Alexandria via LeMat-Bulk.

Results
**Space-group type**: P4/mmm
**Fermi-level density of states**: 6.75 states/eV/cell
**Calculated formation energy**: -163.8 kJ/mol of formula units

Structure (extended XYZ):
```
9
Lattice="4.5597 0.0000 0.0000 0.0000 4.5597 0.0000 0.0000 0.0000 8.8911" Properties=species:S:1:pos:R:3 pbc="T T T"
Y 0.0000 0.0000 0.0000
Er 0.0000 0.0000 4.4455
Al 2.2799 2.2799 3.1879
Al 2.2799 2.2799 5.7032
Ag 0.0000 2.2799 2.0027
Ag 0.0000 2.2799 6.8884
Ag 2.2799 0.0000 2.0027
Ag 2.2799 0.0000 6.8884
Ag 2.2799 2.2799 0.0000
```

=====

First-principles (GGA-PBE) data for an optimized crystal structure of Th2Ga5Cu3, as listed in Alexandria via LeMat-Bulk.

Results
**Space-group type**: Ibam
**Fermi-level density of states**: 6.44 states/eV/cell
**Excess energy over the best structure of this formula in the dataset**: 0.0 kJ/mol of atoms
**Calculated formation energy**: -462.7 kJ/mol of formula units

Structure (extended XYZ):
```
20
Lattice="-5.1416 5.9753 2.9862 5.1416 -5.9753 2.9862 5.1416 5.9753 -2.9862" Properties=species:S:1:pos:R:3 pbc="T T T"
Th 2.5142 1.5240 0.0000
Th 2.5142 -1.5240 2.9862
Th 2.6274 7.4992 0.0000
Th 2.6274 4.4513 2.9862
Ga 5.1416 -2.9194 1.4931
Ga 6.6036 1.3651 0.0000
Ga 0.0000 0.0000 1.4931
Ga 1.4620 4.6101 0.0000
Ga 5.1416 2.9194 1.4931
Ga 0.0000 3.0558 1.4931
Ga 3.6796 1.3651 2.9862
Ga 0.0000 0.0000 4.4794
Ga -1.4620 4.6101 2.9862
Ga 0.0000 8.8947 1.4931
Cu 3.8609 -4.4414 2.9862
Cu 5.1416 0.0000 1.4931
Cu 3.8609 4.4414 0.0000
Cu 1.2807 1.5339 2.9862
Cu 0.0000 5.9753 1.4931
Cu 1.2807 10.4166 0.0000
```

=====

First-principles (GGA-PBE) data for an optimized crystal structure of CaDy2ZnAu4, as listed in Alexandria via LeMat-Bulk.

Results
**Space-group type**: R-3m
**Fermi-level density of states**: 4.45 states/eV/cell
**Calculated formation energy**: -552.5 kJ/mol of formula units

Structure (extended XYZ):
```
8
Lattice="2.4819 1.4329 8.1359 -2.4819 1.4329 8.1359 0.0000 -2.8659 8.1359" Properties=species:S:1:pos:R:3 pbc="T T T"
Ca 0.0000 0.0000 0.0000
Dy 0.0000 0.0000 5.9351
Dy 0.0000 0.0000 18.4726
Zn 0.0000 0.0000 12.2038
Au 0.0000 0.0000 3.0090
Au 0.0000 0.0000 9.2234
Au 0.0000 0.0000 15.1843
Au 0.0000 0.0000 21.3987
```

=====

First-principles (GGA-PBE) data for an optimized crystal structure of Ca2NpRhO8, as listed in Alexandria via LeMat-Bulk.

Results
**Space-group type**: P2/m
**Fermi-level density of states**: 0.27 states/eV/cell
**Raw formation energy**: -2451.1 kJ/mol of formula units

Structure (extended XYZ):
```
12
Lattice="5.1103 0.0000 0.0000 0.0000 6.5307 0.0000 -0.2238 0.0000 5.1111" Properties=species:S:1:pos:R:3 pbc="T T T"
Ca 0.0000 1.5804 0.0000
Ca 0.0000 4.9502 0.0000
Np 2.4433 3.2653 2.5555
Rh 2.4433 0.0000 2.5555
O 1.1040 3.2653 1.1438
O 1.1528 0.0000 1.1963
O 1.4947 1.6363 3.4551
O 1.4947 4.8944 3.4551
O 3.3918 1.6363 1.6560
O 3.3918 4.8944 1.6560
O 3.7337 0.0000 3.9148
O 3.7825 3.2653 3.9673
```